Record 1
First-principles (PBE-GGA) data for a relaxed structure of LaInSnCl6, as listed in Alexandria via LeMat-Bulk.

Unit cell a=7.451 b=7.451 c=13.406 alpha=90.00 beta=90.00 gamma=120.00
Atoms (fractional coordinates):
La 0.333 0.667 0.250
La 0.667 0.333 0.750
In 0.000 0.000 0.000
In 0.000 0.000 0.500
Sn 0.333 0.667 0.750
Sn 0.667 0.333 0.250
Cl 0.006 0.366 0.135
Cl 0.006 0.640 0.365
Cl 0.360 0.366 0.365
Cl 0.360 0.994 0.135
Cl 0.366 0.006 0.635
Cl 0.366 0.360 0.865
Cl 0.634 0.640 0.135
Cl 0.634 0.994 0.365
Cl 0.640 0.006 0.865
Cl 0.640 0.634 0.635
Cl 0.994 0.360 0.635
Cl 0.994 0.634 0.865

Summary:
ρ = 3.015 g/cm3
total magnetization = 0.00 μB per atom


Record 2
First-principles (PBE-GGA) data for a relaxed structure of LaInSn2Cl8, as listed in Alexandria via LeMat-Bulk.

Unit cell a=6.557 b=6.927 c=9.147 alpha=87.06 beta=87.42 gamma=88.70
Atoms (fractional coordinates):
La 0.000 0.000 0.000
In 0.000 0.000 0.500
Sn 0.499 0.492 0.744
Sn 0.501 0.508 0.256
Cl 0.218 0.816 0.776
Cl 0.250 0.853 0.222
Cl 0.258 0.324 0.965
Cl 0.284 0.354 0.547
Cl 0.716 0.646 0.453
Cl 0.742 0.676 0.035
Cl 0.750 0.147 0.778
Cl 0.782 0.184 0.224

Summary:
ρ = 3.105 g/cm3
total magnetization = 0.00 μB per atom


Record 3
First-principles (PBE-GGA) data for a relaxed structure of SrLaInCl6, as listed in Alexandria via LeMat-Bulk.

Unit cell a=7.566 b=7.566 c=13.265 alpha=90.00 beta=90.00 gamma=120.00
Atoms (fractional coordinates):
Sr 0.333 0.667 0.250
Sr 0.667 0.333 0.750
La 0.333 0.667 0.750
La 0.667 0.333 0.250
In 0.000 0.000 0.000
In 0.000 0.000 0.500
Cl 0.011 0.369 0.635
Cl 0.011 0.642 0.865
Cl 0.358 0.369 0.865
Cl 0.358 0.989 0.635
Cl 0.369 0.011 0.135
Cl 0.369 0.358 0.365
Cl 0.631 0.642 0.635
Cl 0.631 0.989 0.865
Cl 0.642 0.011 0.365
Cl 0.642 0.631 0.135
Cl 0.989 0.358 0.135
Cl 0.989 0.631 0.365

Summary:
ρ = 2.798 g/cm3
total magnetization = 0.00 μB per atom


Record 4
First-principles (PBE-GGA) data for a relaxed structure of LaTlIn2Cl6, as listed in Alexandria via LeMat-Bulk.

Unit cell a=8.167 b=8.167 c=8.167 alpha=58.20 beta=58.20 gamma=58.20
Atoms (fractional coordinates):
La 0.000 0.000 0.000
Tl 0.491 0.491 0.491
In 0.206 0.206 0.206
In 0.700 0.700 0.700
Cl 0.100 0.356 0.818
Cl 0.259 0.879 0.657
Cl 0.356 0.818 0.100
Cl 0.657 0.259 0.879
Cl 0.818 0.100 0.356
Cl 0.879 0.657 0.259

Summary:
ρ = 3.533 g/cm3
total magnetization = 0.00 μB per atom


Record 5
First-principles (PBE-GGA) data for a relaxed structure of LaTl2InCl6, as listed in Alexandria via LeMat-Bulk.

Unit cell a=7.641 b=8.296 c=13.096 alpha=90.00 beta=122.56 gamma=90.00
Atoms (fractional coordinates):
La 0.000 0.000 0.000
La 0.000 0.500 0.500
Tl 0.292 0.069 0.767
Tl 0.292 0.431 0.267
Tl 0.708 0.569 0.733
Tl 0.708 0.931 0.233
In 0.500 0.000 0.500
In 0.500 0.500 0.000
Cl 0.097 0.066 0.235
Cl 0.097 0.434 0.735
Cl 0.249 0.722 0.082
Cl 0.249 0.778 0.582
Cl 0.351 0.171 0.047
Cl 0.351 0.329 0.547
Cl 0.649 0.671 0.453
Cl 0.649 0.829 0.953
Cl 0.751 0.222 0.418
Cl 0.751 0.278 0.918
Cl 0.903 0.566 0.265
Cl 0.903 0.934 0.765

Summary:
ρ = 4.154 g/cm3
total magnetization = 0.00 μB per atom


Record 6
First-principles (PBE-GGA) data for a relaxed structure of LiIn2Cl, as listed in Alexandria via LeMat-Bulk.

Unit cell a=3.313 b=3.313 c=10.239 alpha=90.00 beta=99.26 gamma=90.00
Atoms (fractional coordinates):
Li 0.000 0.000 0.000
In 0.327 0.500 0.624
In 0.706 0.000 0.380
Cl 0.498 0.500 0.997

Summary:
ρ = 4.072 g/cm3
total magnetization = 0.00 μB per atom


Record 7
First-principles (PBE-GGA) data for a relaxed structure of Li3InCl6, as listed in Alexandria via LeMat-Bulk.

Unit cell a=7.094 b=7.094 c=7.094 alpha=60.00 beta=60.00 gamma=60.00
Atoms (fractional coordinates):
Li 0.000 0.000 0.000
Li 0.250 0.250 0.250
Li 0.750 0.750 0.750
In 0.500 0.500 0.500
Cl 0.249 0.249 0.751
Cl 0.249 0.751 0.249
Cl 0.249 0.751 0.751
Cl 0.751 0.249 0.249
Cl 0.751 0.249 0.751
Cl 0.751 0.751 0.249

Summary:
ρ = 2.292 g/cm3
total magnetization = 0.00 μB per atom


Record 8
First-principles (PBE-GGA) data for a relaxed structure of LiIn2Cl, as listed in Alexandria via LeMat-Bulk.

Unit cell a=8.900 b=8.900 c=8.900 alpha=23.04 beta=23.04 gamma=23.04
Atoms (fractional coordinates):
Li 0.000 0.000 0.000
In 0.253 0.253 0.253
In 0.747 0.747 0.747
Cl 0.500 0.500 0.500

Summary:
ρ = 4.766 g/cm3
total magnetization = 0.00 μB per atom


Quick rundown of raw formation energy, same order as above: -1.580, -1.421, -2.062, -1.491, -1.538, -0.707, -1.273, -0.309 eV per atom